GGA-PBEsol LiNd6Cu2O12, relaxed; E_form (uncorrected) = -5464 kJ/mol of formula units; D(E_F) = 0.128 states/eV/atom; SG = C2/m, No. 12; total magnetic moment = 0.04 μB/atom
1.0
-3.322 3.357 2.916
-5.334 -2.842 -2.804
3.983 -5.411 5.484
O Nd Cu Li
12 6 2 1
Direct
0.348 0.176 0.176
0.652 0.824 0.824
0.500 0.500 0.500
0.250 0.500 0.000
0.083 0.167 0.667
0.750 0.500 0.000
0.917 0.833 0.333
0.416 0.833 0.333
0.000 0.500 0.500
0.172 0.824 0.824
0.584 0.167 0.667
0.828 0.176 0.176
0.549 0.802 0.098
0.451 0.198 0.902
0.784 0.867 0.568
0.883 0.470 0.767
0.216 0.133 0.432
0.117 0.530 0.233
0.332 0.665 0.665
0.668 0.335 0.335
0.000 0.000 0.000


GGA-PBEsol Li2CuNiO4, relaxed; E_form (uncorrected) = -919 kJ/mol of formula units; D(E_F) = 0.230 states/eV/atom; E above lowest polymorph = 38 meV per atom; SG = C2/c, No. 15; total magnetic moment = 0.12 μB/atom
1.0
-0.065 3.023 -4.693
-3.039 -4.040 -2.369
-2.242 2.407 4.925
O Li Ni Cu
8 4 2 2
Direct
0.266 0.305 0.050
0.245 0.784 0.550
0.805 0.299 0.075
0.755 0.216 0.450
0.276 0.269 0.575
0.195 0.701 0.925
0.734 0.695 0.950
0.724 0.731 0.425
0.500 0.500 0.500
0.500 0.000 0.000
0.000 0.000 0.000
0.500 0.000 0.500
0.000 0.500 0.500
0.500 0.500 0.000
0.000 0.000 0.500
0.000 0.500 0.000


GGA-PBEsol Li2CuNiO4, relaxed; E_form (uncorrected) = -936 kJ/mol of formula units; D(E_F) = 0.306 states/eV/atom; E above lowest polymorph = 16 meV per atom; SG = I-4m2, No. 119; total magnetic moment = 0.00 μB/atom
1.0
-1.959 2.784 -2.082
-1.632 -2.846 -2.271
-1.368 -0.240 4.790
O Ni Cu Li
4 1 1 2
Direct
0.732 0.732 0.464
0.524 0.024 0.047
0.976 0.476 0.953
0.268 0.268 0.536
0.750 0.250 0.500
0.500 0.500 0.000
0.000 0.000 0.000
0.250 0.750 0.500


GGA-PBEsol Li3CuNi4O8, relaxed; E_form (uncorrected) = -1678 kJ/mol of formula units; D(E_F) = 0.472 states/eV/atom; SG = C2/m, No. 12; total magnetic moment = 0.00 μB/atom
1.0
5.766 -0.030 -0.032
-2.892 4.989 0.032
-2.872 -1.648 4.681
O Li Ni Cu
8 3 4 1
Direct
0.500 0.237 0.231
0.533 0.248 0.781
0.500 0.763 0.769
0.467 0.752 0.219
0.006 0.269 0.769
0.003 0.749 0.752
0.997 0.251 0.248
0.994 0.731 0.231
0.500 0.500 0.500
0.000 0.000 0.500
0.500 0.000 0.500
0.500 0.000 0.000
0.000 0.500 0.500
0.000 0.500 0.000
0.000 0.000 0.000
0.500 0.500 0.000


GGA-PBEsol Li2CuNiO4, relaxed; E_form (uncorrected) = -949 kJ/mol of formula units; D(E_F) = 0.139 states/eV/atom; E above lowest polymorph = 0 meV per atom; SG = P2/m, No. 10; total magnetic moment = 0.00 μB/atom
1.0
-1.383 2.321 -0.592
-3.558 -0.790 5.220
4.344 2.436 -0.602
Li Ni O Cu
2 1 4 1
Direct
0.000 0.000 0.000
0.500 0.500 0.000
0.500 0.000 0.500
0.500 0.269 0.433
0.000 0.195 0.827
0.000 0.805 0.173
0.500 0.731 0.567
0.000 0.500 0.500


GGA-PBEsol Li2CuNiP2O8, relaxed; E_form (uncorrected) = -2462 kJ/mol of formula units; D(E_F) = 0.317 states/eV/atom; SG = P2_1/m, No. 11; total magnetic moment = 0.22 μB/atom
1.0
-2.112 -2.698 -3.179
-2.069 -3.482 4.330
-8.006 5.729 0.782
O P Li Cu Ni
16 4 4 2 2
Direct
0.705 0.750 0.552
0.189 0.250 0.948
0.713 0.539 0.335
0.811 0.750 0.052
0.749 0.250 0.099
0.250 0.750 0.401
0.226 0.045 0.167
0.750 0.250 0.599
0.713 0.961 0.335
0.295 0.250 0.448
0.774 0.545 0.833
0.251 0.750 0.901
0.287 0.039 0.665
0.287 0.461 0.665
0.774 0.955 0.833
0.226 0.455 0.167
0.924 0.750 0.905
0.420 0.250 0.595
0.580 0.750 0.405
0.076 0.250 0.095
0.500 0.000 0.000
0.000 0.500 0.500
0.500 0.500 0.000
0.000 0.000 0.500
0.958 0.250 0.779
0.042 0.750 0.221
0.515 0.250 0.278
0.485 0.750 0.722


GGA-PBEsol Li4Cu3NiP4O16, relaxed; E_form (uncorrected) = -4894 kJ/mol of formula units; D(E_F) = 0.265 states/eV/atom; SG = Pm, No. 6; total magnetic moment = 0.18 μB/atom
1.0
-4.304 1.367 -1.223
-1.736 -5.692 -0.253
-2.485 0.334 9.550
Li Cu P O Ni
4 3 4 16 1
Direct
0.507 0.752 0.500
0.994 0.750 0.002
0.994 0.250 0.002
0.507 0.248 0.500
0.530 0.000 0.220
0.456 0.500 0.780
0.031 0.500 0.282
0.926 0.500 0.597
0.420 0.000 0.905
0.572 0.500 0.095
0.082 0.000 0.405
0.256 0.500 0.600
0.685 0.500 0.947
0.806 0.500 0.449
0.301 0.000 0.051
0.220 0.206 0.333
0.220 0.794 0.333
0.791 0.710 0.665
0.715 0.707 0.165
0.244 0.500 0.099
0.753 0.000 0.401
0.747 0.000 0.901
0.206 0.000 0.552
0.273 0.204 0.832
0.715 0.293 0.165
0.791 0.290 0.665
0.273 0.796 0.832
0.985 0.000 0.723


GGA-PBEsol Li4Cu3Ni3Te2O16, relaxed; E_form (uncorrected) = -2994 kJ/mol of formula units; D(E_F) = 0.342 states/eV/atom; SG = Cm, No. 8; total magnetic moment = 0.19 μB/atom
1.0
5.831 0.065 -0.193
2.946 5.033 -0.193
-0.203 -0.118 9.578
Cu O Te Li Ni
3 16 2 4 3
Direct
0.170 0.664 0.211
0.664 0.170 0.211
0.833 0.833 0.712
0.325 0.325 0.123
0.468 0.018 0.357
0.673 0.170 0.589
0.170 0.673 0.589
0.010 0.010 0.794
0.967 0.506 0.847
0.018 0.468 0.357
0.473 0.473 0.352
0.348 0.843 0.088
0.844 0.844 0.083
0.172 0.172 0.597
0.843 0.348 0.088
0.514 0.514 0.847
0.506 0.967 0.847
0.658 0.658 0.623
0.011 0.011 0.291
0.329 0.329 0.485
0.671 0.671 0.982
0.009 0.009 0.986
0.005 0.005 0.483
0.333 0.333 0.912
0.655 0.655 0.414
0.172 0.172 0.214
0.831 0.340 0.713
0.340 0.831 0.713


GGA-PBEsol Li4Cu3Ni3W2O16, relaxed; E_form (uncorrected) = -3734 kJ/mol of formula units; D(E_F) = 0.383 states/eV/atom; SG = Cm, No. 8; total magnetic moment = 0.20 μB/atom
1.0
5.723 0.000 0.000
-2.862 5.074 -0.045
0.000 -0.725 9.546
Ni Li O Cu W
3 4 16 3 2
Direct
0.830 0.169 0.713
0.171 0.342 0.215
0.339 0.169 0.713
0.998 0.995 0.486
0.007 0.013 0.987
0.651 0.302 0.411
0.330 0.661 0.905
0.356 0.208 0.085
0.470 0.489 0.361
0.470 0.939 0.345
0.509 0.471 0.845
0.664 0.849 0.587
0.011 0.021 0.797
0.852 0.208 0.085
0.324 0.647 0.123
0.658 0.315 0.622
0.010 0.021 0.295
0.184 0.849 0.587
0.174 0.348 0.597
0.516 0.031 0.848
0.018 0.489 0.361
0.844 0.687 0.080
0.962 0.471 0.845
0.833 0.666 0.714
0.168 0.831 0.212
0.664 0.831 0.212
0.667 0.334 0.987
0.320 0.639 0.490


GGA-PBEsol Li4Cu3O6, relaxed; E_form (uncorrected) = -1516 kJ/mol of formula units; D(E_F) = 0.343 states/eV/atom; E above lowest polymorph = 0 meV per atom; SG = C2/m, No. 12; total magnetic moment = 0.04 μB/atom
1.0
-4.002 4.933 -1.228
-4.596 -2.956 -3.464
-6.106 -0.604 3.755
Cu O Li
6 12 8
Direct
0.821 0.491 0.740
0.509 0.179 0.260
0.158 0.158 0.728
0.842 0.842 0.272
0.179 0.509 0.260
0.491 0.821 0.740
0.409 0.073 0.823
0.568 0.568 0.655
0.591 0.927 0.177
0.106 0.759 0.340
0.271 0.271 0.156
0.927 0.591 0.177
0.241 0.894 0.660
0.073 0.409 0.823
0.894 0.241 0.660
0.729 0.729 0.844
0.432 0.432 0.345
0.759 0.106 0.340
0.977 0.298 0.134
0.364 0.364 0.859
0.023 0.702 0.866
0.684 0.316 0.500
0.636 0.636 0.141
0.316 0.684 0.500
0.702 0.023 0.866
0.298 0.977 0.134


GGA-PBEsol LiCuO3, relaxed; E_form (uncorrected) = 118 kJ/mol of formula units; D(E_F) = 0.313 states/eV/atom; SG = Pm-3m, No. 221; total magnetic moment = 0.80 μB/atom
1.0
-2.182 1.511 2.362
1.709 -1.656 2.638
2.223 2.757 0.291
O Cu Li
3 1 1
Direct
0.500 0.000 0.000
0.000 0.000 0.500
0.000 0.500 0.000
0.500 0.500 0.500
0.000 0.000 0.000


GGA-PBEsol LiCuO2, relaxed; E_form (uncorrected) = -428 kJ/mol of formula units; D(E_F) = 0.019 states/eV/atom; SG = C2/m, No. 12; total magnetic moment = 0.00 μB/atom
1.0
-0.278 -1.241 -2.385
-2.465 -1.965 -0.222
-3.011 2.911 -2.695
Li O Cu
1 2 1
Direct
0.000 0.500 0.500
0.418 0.910 0.254
0.582 0.090 0.746
0.000 0.000 0.000


Q: Look up the E_form (uncorrected) of the sixth one.
A: -2462 kJ/mol of formula units


Please write out number 7 again, unchanged.
GGA-PBEsol Li4Cu3NiP4O16, relaxed; E_form (uncorrected) = -4894 kJ/mol of formula units; D(E_F) = 0.265 states/eV/atom; SG = Pm, No. 6; total magnetic moment = 0.18 μB/atom
1.0
-4.304 1.367 -1.223
-1.736 -5.692 -0.253
-2.485 0.334 9.550
Li Cu P O Ni
4 3 4 16 1
Direct
0.507 0.752 0.500
0.994 0.750 0.002
0.994 0.250 0.002
0.507 0.248 0.500
0.530 0.000 0.220
0.456 0.500 0.780
0.031 0.500 0.282
0.926 0.500 0.597
0.420 0.000 0.905
0.572 0.500 0.095
0.082 0.000 0.405
0.256 0.500 0.600
0.685 0.500 0.947
0.806 0.500 0.449
0.301 0.000 0.051
0.220 0.206 0.333
0.220 0.794 0.333
0.791 0.710 0.665
0.715 0.707 0.165
0.244 0.500 0.099
0.753 0.000 0.401
0.747 0.000 0.901
0.206 0.000 0.552
0.273 0.204 0.832
0.715 0.293 0.165
0.791 0.290 0.665
0.273 0.796 0.832
0.985 0.000 0.723


Q: Which value of E_form (uncorrected) does entry 6 give?
A: -2462 kJ/mol of formula units